Version 1
VASP calculation (PBE) on an optimized crystal structure of TbPr6Tm2.

## Properties
Its crystal system is monoclinic. For the density of states at the Fermi level, the calculation gives 12.6 states/eV/f.u. The calculated volume comes out at 1231.9 Å³ per cell.

Cell and atoms, written as CIF:
```
data_TbPr6Tm2
_space_group_name_H-M_alt 'C 1 2/c 1'
_space_group_IT_number 15
_cell_length_a 16.520
_cell_length_b 11.934
_cell_length_c 6.287
_cell_angle_alpha 90.00
_cell_angle_beta 96.35
_cell_angle_gamma 90.00
loop_
_space_group_symop_operation_xyz
'x,y,z'
'-x,-y,-z'
'-x,y,-z+1/2'
'x,-y,z+1/2'
'x+1/2,y+1/2,z'
'-x+1/2,-y+1/2,-z'
'-x+1/2,y+1/2,-z+1/2'
'x+1/2,-y+1/2,z+1/2'
loop_
_atom_site_label
_atom_site_type_symbol
_atom_site_fract_x
_atom_site_fract_y
_atom_site_fract_z
_atom_site_occupancy
Tb1 Tb 0.000 0.101 0.250 1
Pr1 Pr 0.049 0.360 0.514 1
Pr2 Pr 0.120 0.140 0.819 1
Pr3 Pr 0.217 0.140 0.347 1
Tm1 Tm 0.166 0.398 0.085 1
```

Version 2
VASP calculation (PBE) on an optimized crystal structure of TbPr6Tm2.

## Properties
Its crystal system is monoclinic. For the density of states at the Fermi level, the calculation gives 15.3 states/eV/f.u. The calculated volume comes out at 631.0 Å³ per cell.

Cell and atoms, written as CIF:
```
data_TbPr6Tm2
_space_group_name_H-M_alt 'C 1 2/m 1'
_space_group_IT_number 12
_cell_length_a 11.884
_cell_length_b 3.488
_cell_length_c 15.584
_cell_angle_alpha 90.00
_cell_angle_beta 102.39
_cell_angle_gamma 90.00
loop_
_space_group_symop_operation_xyz
'x,y,z'
'-x,-y,-z'
'-x,y,-z'
'x,-y,z'
'x+1/2,y+1/2,z'
'-x+1/2,-y+1/2,-z'
'-x+1/2,y+1/2,-z'
'x+1/2,-y+1/2,z'
loop_
_atom_site_label
_atom_site_type_symbol
_atom_site_fract_x
_atom_site_fract_y
_atom_site_fract_z
_atom_site_occupancy
Tb1 Tb 0.000 0.000 0.000 1
Pr1 Pr 0.041 0.000 0.231 1
Pr2 Pr 0.126 0.500 0.437 1
Pr3 Pr 0.208 0.500 0.895 1
Tm1 Tm 0.167 0.500 0.666 1
```

Least stable of them? version 2.